No. 1
Computed, not measured: a relaxed structure of CaLaAs2Rh5 at the PBE level of DFT.

Summary:
Density in g/cm3: 8.5
N(E_F) in states/eV per atom: 0.50
Total magnetization in μB/f.u.: 0.00
Symmetry: P4/mmm (123)
Formation energy in eV/atom: -0.696

a = 4.2447 Å, b = 4.2447 Å, c = 9.1146 Å
α = 90.00°, β = 90.00°, γ = 90.00°
Last column: nearest neighbours and their distance in Å.
Atoms (fractional coordinates):
Rh (0.5000, 0.0000, 0.2653)  2 As 2.38
Rh (0.0000, 0.5000, 0.2653)  2 As 2.38
Rh (0.5000, 0.0000, 0.7347)  2 As 2.38
Rh (0.5000, 0.5000, 0.5000)  4 La 3.00, 8 Rh 3.01, 2 As 3.22
Rh (0.0000, 0.5000, 0.7347)  2 As 2.38
Ca (0.0000, 0.0000, 0.0000)  8 Rh 3.22, 8 As 3.28
La (0.0000, 0.0000, 0.5000)  12 Rh 3.00-3.01
As (0.5000, 0.5000, 0.1463)  4 Rh 2.38, 1 As 2.67
As (0.5000, 0.5000, 0.8537)  4 Rh 2.38, 1 As 2.67



No. 2
Computed, not measured: a relaxed structure of CaLaAs2Rh at the PBE level of DFT.

Summary:
Density in g/cm3: 5.4
N(E_F) in states/eV per atom: 0.65
Total magnetization in μB/f.u.: 0.00
Symmetry: P4/mmm (123)
Formation energy in eV/atom: -0.398

a = 5.2242 Å, b = 4.9006 Å, c = 5.2242 Å
α = 90.00°, β = 90.00°, γ = 90.00°
Last column: nearest neighbours and their distance in Å.
Atoms (fractional coordinates):
As (0.0000, 0.0000, 0.5000)  2 Rh 2.61
As (0.5000, 0.0000, 0.0000)  2 Rh 2.61
Ca (0.5000, 0.5000, 0.5000)  8 As 3.58, 4 La 3.69
Rh (0.0000, 0.0000, 0.0000)  2 La 2.45, 4 As 2.61
La (0.0000, 0.5000, 0.0000)  2 Rh 2.45



No. 3
Computed, not measured: a relaxed structure of CaLaAsS at the PBE level of DFT.

Summary:
Density in g/cm3: 4.4
Total magnetization in μB/f.u.: 0.00
Symmetry: R3m (160)
Uncorrected formation energy in eV/atom: -1.781

a = 4.2725 Å, b = 4.2725 Å, c = 7.2618 Å
α = 72.89°, β = 72.89°, γ = 60.00°
Last column: nearest neighbours and their distance in Å.
Atoms (fractional coordinates):
Ca (0.5003, 0.5003, 0.4990)  3 S 3.00, 3 As 3.00
As (0.2503, 0.2503, 0.2491)  3 La 2.98, 3 Ca 3.00
S (0.7505, 0.7505, 0.7486)  3 Ca 3.00, 3 La 3.02
La (0.9989, 0.9989, 0.0033)  3 As 2.98, 3 S 3.02



Q: Look up the density of the second one.
A: 5.4 g/cm3